(1)
HoZr2Be | PBE | optimized geometry

a = 3.159 Å, b = 3.159 Å, c = 8.436 Å
α = 90.00°, β = 90.00°, γ = 90.00°
Fractional positions:
Zr: 0.000 0.000 0.192
Be: 0.500 0.500 0.000
Ho: 0.500 0.500 0.500
Zr: 0.000 0.000 0.808

Magnetic moment in μB per formula unit: 0.0
Fermi-level density of states in states/eV/f.u.: 4.56
Symmetry: P4/mmm (123)
E in eV per atom: -6.2771
Calculated formation energy in eV per formula unit: 0.3

(2)
HoZrBe2 | PBE | optimized geometry

a = 4.621 Å, b = 4.621 Å, c = 4.621 Å
α = 60.00°, β = 60.00°, γ = 60.00°
Fractional positions:
Zr: 0.500 0.500 0.500
Be: 0.250 0.250 0.250
Ho: 0.000 0.000 0.000
Be: 0.750 0.750 0.750

Magnetic moment in μB per formula unit: 0.0
Fermi-level density of states in states/eV/f.u.: 4.26
Symmetry: Fm-3m (225)
Energy above the most stable polymorph in this dataset in meV per atom: 59.8
E in eV per atom: -5.0856
Calculated formation energy in eV per formula unit: 0.2

(3)
HoZrBe | PBE | optimized geometry

a = 3.271 Å, b = 3.271 Å, c = 6.244 Å
α = 105.18°, β = 105.18°, γ = 90.00°
Fractional positions:
Zr: 0.306 0.306 0.612
Be: 0.678 0.678 0.357
Ho: 0.016 0.016 0.031

Magnetic moment in μB per formula unit: 0.0
Fermi-level density of states in states/eV/f.u.: 2.99
Symmetry: I4mm (107)
E in eV per atom: -5.5342
Calculated formation energy in eV per formula unit: 0.2

(4)
HoZrBe17 | PBE | optimized geometry

a = 5.741 Å, b = 5.741 Å, c = 5.741 Å
α = 82.95°, β = 82.95°, γ = 82.95°
Fractional positions:
Zr: 0.337 0.337 0.337
Be: 0.159 0.658 0.658
Be: 0.097 0.097 0.097
Be: 0.001 0.716 0.282
Be: 0.339 0.843 0.339
Be: 0.003 0.498 0.003
Be: 0.282 0.716 0.001
Ho: 0.661 0.661 0.661
Be: 0.716 0.282 0.001
Be: 0.658 0.159 0.658
Be: 0.716 0.001 0.282
Be: 0.282 0.001 0.716
Be: 0.658 0.658 0.159
Be: 0.339 0.339 0.843
Be: 0.843 0.339 0.339
Be: 0.498 0.003 0.003
Be: 0.001 0.282 0.716
Be: 0.906 0.906 0.906
Be: 0.003 0.003 0.498

Magnetic moment in μB per formula unit: 0.0
Fermi-level density of states in states/eV/f.u.: 3.73
Symmetry: R3m (160)
E in eV per atom: -4.2196
Calculated formation energy in eV per formula unit: -3.7

(5)
Ho2ZrBe | PBE | optimized geometry

a = 3.356 Å, b = 3.356 Å, c = 8.182 Å
α = 90.00°, β = 90.00°, γ = 90.00°
Fractional positions:
Ho: 0.000 0.000 0.789
Ho: 0.000 0.000 0.211
Be: 0.500 0.500 0.000
Zr: 0.500 0.500 0.500

Magnetic moment in μB per formula unit: 0.0
Fermi-level density of states in states/eV/f.u.: 4.56
Symmetry: P4/mmm (123)
E in eV per atom: -5.2590
Calculated formation energy in eV per formula unit: 0.4

(6)
BeI | PBE | optimized geometry

a = 4.624 Å, b = 4.624 Å, c = 5.389 Å
α = 90.00°, β = 90.00°, γ = 120.00°
Fractional positions:
I: 0.667 0.333 0.250
Be: 0.667 0.333 0.750
Be: 0.333 0.667 0.250
I: 0.333 0.667 0.750

Magnetic moment in μB per formula unit: 0.0
Fermi-level density of states in states/eV/f.u.: 0.60
Symmetry: P6_3/mmc (194)
Energy above the most stable polymorph in this dataset in meV per atom: 628.8
E in eV per atom: -1.9737
ΔE_f (raw) in meV/atom: 665

(7)
BeI | PBE | optimized geometry

a = 15.413 Å, b = 4.005 Å, c = 6.941 Å
α = 90.00°, β = 90.00°, γ = 90.00°
Fractional positions:
I: 0.000 0.409 0.799
I: 0.166 0.244 0.386
Be: 0.000 0.148 0.474
I: 0.834 0.244 0.386
I: 0.666 0.756 0.886
Be: 0.064 0.651 0.478
Be: 0.436 0.349 0.978
I: 0.500 0.591 0.299
Be: 0.500 0.852 0.974
Be: 0.564 0.349 0.978
I: 0.334 0.756 0.886
Be: 0.936 0.651 0.478

Magnetic moment in μB per formula unit: 0.0
Fermi-level density of states in states/eV/f.u.: 0.56
Symmetry: Pmn2_1 (31)
Energy above the most stable polymorph in this dataset in meV per atom: 63.4
E in eV per atom: -2.5391
ΔE_f (raw) in meV/atom: 99

(8)
BeI | PBE | optimized geometry

a = 7.823 Å, b = 15.125 Å, c = 7.389 Å
α = 90.00°, β = 90.00°, γ = 90.00°
Fractional positions:
Be: 0.000 0.387 0.000
Be: 0.250 0.863 0.750
Be: 0.250 0.637 0.750
I: 0.500 0.500 0.749
Be: 0.250 0.363 0.250
I: 0.750 0.250 0.999
I: 0.750 0.750 0.499
Be: 0.500 0.887 0.000
I: 0.250 0.750 0.501
I: 0.250 0.250 0.001
I: 0.750 0.750 0.001
I: 0.500 0.000 0.751
Be: 0.500 0.113 0.000
I: 0.000 0.500 0.751
Be: 0.750 0.137 0.750
Be: 0.500 0.387 0.500
Be: 0.750 0.363 0.750
Be: 0.000 0.113 0.500
I: 0.750 0.250 0.501
Be: 0.750 0.637 0.250
I: 0.250 0.250 0.499
I: 0.250 0.750 0.999
Be: 0.750 0.863 0.250
I: 0.500 0.500 0.251
Be: 0.000 0.613 0.000
I: 0.500 0.000 0.249
I: 0.000 0.000 0.251
Be: 0.000 0.887 0.500
Be: 0.250 0.137 0.250
Be: 0.500 0.613 0.500
I: 0.000 0.500 0.249
I: 0.000 0.000 0.749

Magnetic moment in μB per formula unit: 0.0
Fermi-level density of states in states/eV/f.u.: 0.51
Symmetry: Fddd (70)
Energy above the most stable polymorph in this dataset in meV per atom: 522.1
E in eV per atom: -2.0804
ΔE_f (raw) in meV/atom: 558

(9)
BeI | PBE | optimized geometry

a = 7.620 Å, b = 3.872 Å, c = 9.466 Å
α = 90.00°, β = 92.21°, γ = 90.00°
Fractional positions:
I: 0.714 0.500 0.214
Be: 0.537 0.000 0.106
Be: 0.463 0.500 0.394
I: 0.286 0.500 0.786
I: 0.286 0.000 0.286
Be: 0.537 0.500 0.606
Be: 0.463 0.000 0.894
I: 0.714 0.000 0.714

Magnetic moment in μB per formula unit: 0.0
Symmetry: C2/m (12)
Energy above the most stable polymorph in this dataset in meV per atom: 35.9
E in eV per atom: -2.5666
ΔE_f (raw) in meV/atom: 72

(10)
BeI | PBE | optimized geometry

a = 3.869 Å, b = 3.869 Å, c = 9.394 Å
α = 93.33°, β = 97.98°, γ = 119.99°
Fractional positions:
Be: 0.949 0.547 0.276
Be: 0.070 0.638 0.501
I: 0.208 0.157 0.141
I: 0.477 0.361 0.637

Magnetic moment in μB per formula unit: 0.0
Fermi-level density of states in states/eV/f.u.: 0.00
Symmetry: P1 (1)
Energy above the most stable polymorph in this dataset in meV per atom: 15.9
E in eV per atom: -2.5866
ΔE_f (raw) in meV/atom: 52

(11)
BeI | PBE | optimized geometry

a = 7.985 Å, b = 7.985 Å, c = 7.985 Å
α = 90.00°, β = 90.00°, γ = 90.00°
Fractional positions:
Be: 0.900 0.100 0.900
I: 0.276 0.724 0.724
I: 0.776 0.776 0.776
Be: 0.600 0.400 0.400
I: 0.224 0.224 0.776
I: 0.776 0.224 0.224
I: 0.724 0.276 0.724
Be: 0.100 0.900 0.900
Be: 0.100 0.100 0.100
Be: 0.600 0.600 0.600
I: 0.724 0.724 0.276
Be: 0.900 0.900 0.100
Be: 0.400 0.600 0.400
I: 0.224 0.776 0.224
Be: 0.400 0.400 0.600
I: 0.276 0.276 0.276

Magnetic moment in μB per formula unit: 0.0
Fermi-level density of states in states/eV/f.u.: 1.14
Symmetry: I-43m (217)
Energy above the most stable polymorph in this dataset in meV per atom: 286.4
E in eV per atom: -2.3161
ΔE_f (raw) in meV/atom: 322

(12)
BeI2 | PBE | optimized geometry

a = 3.853 Å, b = 3.849 Å, c = 7.849 Å
α = 88.73°, β = 75.79°, γ = 59.97°
Fractional positions:
Be: 0.000 0.000 0.000
I: 0.461 0.279 0.800
I: 0.539 0.721 0.200

Magnetic moment in μB per formula unit: 0.0
Fermi-level density of states in states/eV/f.u.: 0.00
Symmetry: C2/m (12)
Energy above the most stable polymorph in this dataset in meV per atom: 285.0
E in eV per atom: -2.5549
ΔE_f (raw) in meV/atom: -279